[1]
SnBO3 (GGA-PBE, relaxed); VASP energy = -5.922 eV/atom; DOS(E_F) = 0.9 states/eV/f.u.; energy relative to the elements, uncorrected = -0.8113 eV/atom; symmetry = No. 221
1.0
-1.2073 -2.1619 2.4150
-0.5667 -2.3966 -2.4287
3.1914 -1.2434 0.4823
B O Sn
1 3 1
Cartesian
0.0000 0.0000 0.0000
1.5957 -0.6217 0.2412
-0.2834 -1.1983 -1.2144
-0.6037 -1.0809 1.2075
0.7087 -2.9010 0.2343


[2]
SnBO4 (GGA-PBE, relaxed); VASP energy = -6.489 eV/atom; DOS(E_F) = 3.5 states/eV/f.u.; energy relative to the elements, uncorrected = -1.4033 eV/atom; symmetry = No. 112
1.0
-3.6703 1.8244 1.9013
-2.0369 -4.0326 -0.0626
2.9080 -1.5796 7.1292
Sn O B
2 8 2
Cartesian
1.4540 -0.7898 3.5646
0.0000 0.0000 0.0000
-1.7178 -3.3496 7.3574
-1.6857 -2.6868 1.3588
-3.1714 0.0168 2.5639
-0.2884 -1.4441 2.8638
-1.0570 -0.5174 5.9157
0.9766 -1.5561 6.6557
-0.8921 -3.7321 5.1362
-3.3609 -1.8820 4.0201
-0.2914 -2.4112 1.7510
0.3459 -0.2725 6.2976


[3]
SnBO2 (GGA-PBE, relaxed); VASP energy = -6.384 eV/atom; DOS(E_F) = 1.1 states/eV/f.u.; energy relative to the elements, uncorrected = -1.2352 eV/atom; symmetry = No. 141
1.0
4.9706 0.0000 0.0000
0.0000 4.9706 0.0000
2.4853 2.4853 3.4985
O B Sn
4 2 2
Cartesian
6.2132 4.9702 2.6239
2.4849 1.2426 0.8746
2.4857 3.7279 0.8746
3.7279 4.9710 2.6239
2.4853 2.4853 0.0000
2.4853 4.9706 1.7493
0.0000 0.0000 0.0000
4.9706 2.4853 1.7493


[4]
SnB2O4 (GGA-PBE, relaxed); VASP energy = -7.241 eV/atom; DOS(E_F) = 0.0 states/eV/f.u.; energy relative to the elements, uncorrected = -1.9278 eV/atom; symmetry = No. 66
1.0
4.0716 0.0000 0.0000
-2.0358 4.3669 0.0000
0.0000 0.0000 8.7889
Sn O B
2 8 4
Cartesian
2.0358 0.0000 2.1972
2.0358 0.0000 6.5917
-0.9903 3.2761 4.3945
1.0455 1.0908 0.0000
0.9903 3.2761 0.0000
-1.0179 2.1835 7.6940
1.0179 2.1835 5.4895
-1.0179 2.1835 1.0950
1.0179 2.1835 3.2995
3.0261 1.0908 4.3945
-0.0003 2.1362 0.0000
2.0361 2.2307 0.0000
0.0003 2.1362 4.3945
2.0355 2.2307 4.3945


[5]
SnB2O (GGA-PBE, relaxed); VASP energy = -5.097 eV/atom; DOS(E_F) = 0.0 states/eV/f.u.; energy relative to the elements, uncorrected = 0.4820 eV/atom; symmetry = No. 122; offset from the most stable computed form = 0 meV/atom
1.0
-2.4619 -1.4195 3.5511
0.4349 -4.2998 -1.4172
2.8475 -3.2941 3.5700
B Sn O
4 2 2
Cartesian
-0.5358 -2.1117 2.5934
0.3203 -7.0616 4.6808
1.4174 -5.0286 3.3415
0.4393 -3.8248 0.7920
-0.3139 -3.7866 4.0940
0.0000 0.0000 0.0000
1.1345 -5.2268 1.6098
-1.0135 -2.8596 1.0669


[6]
SnBO (GGA-PBE, relaxed); VASP energy = -5.661 eV/atom; DOS(E_F) = 0.8 states/eV/f.u.; energy relative to the elements, uncorrected = -0.4482 eV/atom; symmetry = No. 12
1.0
2.7088 0.0000 0.0000
1.3544 6.3516 0.4943
1.3544 1.8707 6.5268
Sn O B
2 2 2
Cartesian
4.0632 6.5971 6.8422
1.3544 1.6252 0.1789
4.0632 6.4038 3.7743
1.3544 1.8185 3.2468
2.7088 6.8210 4.4946
2.7088 1.4013 2.5265


[7]
SnB2O (GGA-PBE, relaxed); VASP energy = -3.939 eV/atom; DOS(E_F) = 1.7 states/eV/f.u.; energy relative to the elements, uncorrected = 1.6395 eV/atom; symmetry = No. 225; offset from the most stable computed form = 1157 meV/atom
1.0
0.1030 -3.1974 2.5394
-1.8033 0.2376 3.6571
-3.4052 -2.1306 0.7403
Sn O B
1 1 2
Cartesian
-2.5527 -2.5452 3.4684
0.0000 0.0000 0.0000
-3.8291 -3.8178 5.2026
-1.2764 -1.2726 1.7342


[8]
SnBO3 (GGA-PBE, relaxed); VASP energy = -6.895 eV/atom; DOS(E_F) = 0.9 states/eV/f.u.; energy relative to the elements, uncorrected = -1.7836 eV/atom; symmetry = No. 14
1.0
-3.3411 -3.6218 0.7572
-0.4788 -0.8845 -6.3430
5.8759 -4.6549 3.6614
Sn O B
4 12 4
Cartesian
2.2894 -7.4387 -0.1714
-0.2687 -4.5167 1.1376
2.3248 -4.6446 -3.0620
-0.2333 -1.7226 -1.7530
1.8764 -4.0057 1.1151
2.5855 -7.8771 2.1375
-0.4080 -4.0161 -0.9928
1.3541 -7.8010 -2.1213
-1.4405 -3.3618 -4.7794
1.7363 -2.3781 -2.4684
3.4965 -5.7994 2.8550
2.4641 -5.1451 -0.9317
0.1796 -5.1556 -3.0395
-0.5294 -1.2841 -4.0620
0.3198 -6.7832 0.5439
0.7020 -1.3602 0.1969
-0.5813 -2.2974 -5.0091
-0.6090 -5.0534 -1.9019
2.6650 -4.1079 -0.0225
2.6373 -6.8638 3.0847


[9]
SrSnB2O (GGA-PBE, relaxed); VASP energy = -4.278 eV/atom; DOS(E_F) = 3.2 states/eV/f.u.; energy relative to the elements, uncorrected = 0.5212 eV/atom; symmetry = No. 123
1.0
-1.1444 -1.0805 -4.2037
-2.1321 -3.6352 1.5148
-3.7778 2.3885 0.4145
Sr B Sn O
1 2 1 1
Cartesian
-3.5272 -1.1636 -1.1372
-1.8889 1.1942 0.2073
-0.5722 -0.5403 -2.1019
0.0000 0.0000 0.0000
-1.0660 -1.8176 0.7574


[10]
SrSnB2O6 (GGA-PBE, relaxed); VASP energy = -7.293 eV/atom; DOS(E_F) = 0.0 states/eV/f.u.; energy relative to the elements, uncorrected = -2.4143 eV/atom; symmetry = No. 148
1.0
-0.1226 -6.3766 0.3953
3.9373 -4.3641 2.5071
-0.4732 -4.1341 4.8495
O B Sr Sn
6 2 1 1
Cartesian
1.6860 -9.3186 2.9718
2.7375 -6.6153 2.2813
3.4427 -7.9416 4.8570
0.6040 -8.2595 5.4706
-0.1013 -6.9332 2.8949
1.6555 -5.5562 4.7800
2.5563 -11.3795 5.9303
0.7852 -3.4953 1.8216
0.0000 0.0000 0.0000
1.6707 -7.4374 3.8759


[11]
TbSnB2O6 (GGA-PBE, relaxed); VASP energy = -7.609 eV/atom; DOS(E_F) = 0.9 states/eV/f.u.; energy relative to the elements, uncorrected = -2.4348 eV/atom; symmetry = No. 15
1.0
6.4371 -0.2750 0.1709
-1.0610 6.3550 0.1709
-1.3976 -1.5806 6.1327
O Sn Tb B
12 2 2 4
Cartesian
2.5627 -0.1940 1.6850
-1.2051 1.7293 4.7514
3.6156 5.3233 2.6610
2.4711 4.1647 0.9155
-0.1633 1.0496 0.7472
0.3629 -0.8239 3.8135
5.1836 2.7701 1.7232
3.1321 2.1721 3.9818
0.8464 2.3273 2.4927
1.4158 4.6934 4.7895
4.1418 3.4498 5.7274
1.5074 0.3347 5.5591
4.7109 -0.8609 4.7704
-0.7324 5.3603 1.7041
0.9782 2.4397 4.7704
3.0003 2.0598 1.7041
4.1713 2.3304 4.8646
1.4776 -0.7161 4.6763
2.5009 5.2155 1.7983
-0.1928 2.1691 1.6099


[12]
TbSnBO5 (GGA-PBE, relaxed); VASP energy = -7.435 eV/atom; DOS(E_F) = 0.0 states/eV/f.u.; energy relative to the elements, uncorrected = -2.4223 eV/atom; symmetry = No. 15
1.0
-1.3577 2.9881 -4.2934
-1.1958 -5.1264 -1.2229
-4.9640 1.6411 4.5986
O Sn Tb B
10 2 2 2
Cartesian
-2.3128 1.2060 -3.6197
-5.0646 3.4107 -0.5386
-3.7805 -0.3878 1.0478
-6.1944 -0.5287 0.8029
-4.7033 -2.5588 0.4146
-2.8142 2.0616 -1.3324
-2.4530 -3.9079 -0.3791
-1.3232 0.0314 -1.7206
-3.7371 -0.1094 -1.9655
-5.2048 -1.7032 2.7020
-2.4820 0.8205 2.2993
0.0000 0.0000 0.0000
-2.4940 -1.8516 -1.1572
-5.0236 1.3544 0.2395
-2.5478 0.8442 -2.1773
-4.9698 -1.3414 1.2595


[13]
TmSnB2O6 (GGA-PBE, relaxed); VASP energy = -7.613 eV/atom; DOS(E_F) = 0.8 states/eV/f.u.; energy relative to the elements, uncorrected = -2.4553 eV/atom; symmetry = No. 15
1.0
6.3841 -0.3076 0.1831
-1.0869 6.2984 0.1831
-1.3659 -1.5448 6.0615
Tm B O Sn
2 4 12 2
Cartesian
1.0000 2.3887 4.7292
2.9313 2.0573 1.6985
1.4662 -0.7187 4.6502
4.1411 2.3064 4.8082
2.4651 5.1647 1.7775
-0.2099 2.1396 1.6194
0.3613 -0.7739 3.7754
0.8298 2.3200 2.5012
3.5700 5.2199 2.6522
1.3467 4.6045 4.7700
-0.1293 1.0362 0.7447
4.0606 3.4098 5.6830
2.4132 4.1108 0.8957
1.5180 0.3352 5.5320
5.0880 2.6727 1.7393
2.5846 -0.1585 1.6577
3.1015 2.1260 3.9264
-1.1567 1.7734 4.6884
4.6659 -0.8528 4.7292
-0.7347 5.2988 1.6985


[14]
YSnB2O6 (GGA-PBE, relaxed); VASP energy = -7.787 eV/atom; DOS(E_F) = 0.9 states/eV/f.u.; energy relative to the elements, uncorrected = -2.4300 eV/atom; symmetry = No. 15
1.0
6.4322 -0.2841 0.1733
-1.0695 6.3490 0.1733
-1.3920 -1.5743 6.1183
B O Y Sn
4 12 2 2
Cartesian
2.4951 5.2103 1.7951
4.1696 2.3271 4.8543
1.4756 -0.7197 4.6698
-0.1989 2.1636 1.6106
1.5084 0.3312 5.5530
0.3624 -0.8170 3.8050
2.4623 4.1594 0.9119
1.4007 4.6798 4.7834
5.1692 2.7503 1.7243
3.6084 5.3076 2.6599
3.1306 2.1659 3.9710
-1.1985 1.7403 4.7406
-0.1592 1.0468 0.7458
4.1299 3.4439 5.7190
2.5700 -0.1892 1.6814
0.8401 2.3248 2.4939
0.9827 2.4306 4.7620
2.9880 2.0600 1.7029
4.7070 -0.8625 4.7620
-0.7363 5.3531 1.7029


[15]
Zr2SnBO (GGA-PBE, relaxed); VASP energy = -5.208 eV/atom; DOS(E_F) = 3.8 states/eV/f.u.; energy relative to the elements, uncorrected = 1.3387 eV/atom; symmetry = No. 123
1.0
5.3653 0.0000 0.0000
0.0000 3.9329 0.0000
0.0000 0.0000 5.3653
Zr O B Sn
2 1 1 1
Cartesian
2.6826 0.0000 0.0000
0.0000 0.0000 2.6826
2.6826 1.9664 2.6826
0.0000 1.9664 0.0000
0.0000 0.0000 0.0000


[16]
SrB2O4 (GGA-PBE, relaxed); VASP energy = -7.611 eV/atom; DOS(E_F) = 0.0 states/eV/f.u.; energy relative to the elements, uncorrected = -2.6299 eV/atom; symmetry = No. 66; offset from the most stable computed form = 95 meV/atom
1.0
4.0853 0.0000 0.0000
-2.0427 4.3466 0.0000
0.0000 0.0000 8.7495
Sr B O
2 4 8
Cartesian
2.0427 0.0000 2.1874
2.0427 0.0000 6.5621
2.0421 2.2160 4.3748
-0.0006 2.1306 0.0000
0.0006 2.1306 4.3748
2.0432 2.2160 0.0000
-1.0213 2.1733 7.6550
1.0213 2.1733 5.4692
-1.0213 2.1733 1.0945
1.0423 1.0795 0.0000
-1.0004 3.2671 4.3748
1.0004 3.2671 0.0000
1.0213 2.1733 3.2803
3.0431 1.0795 4.3748


[17]
SrBO2 (GGA-PBE, relaxed); VASP energy = -6.739 eV/atom; DOS(E_F) = 1.3 states/eV/f.u.; energy relative to the elements, uncorrected = -2.1705 eV/atom; symmetry = No. 166
1.0
-5.1718 0.3076 0.5453
-3.3410 -1.8953 3.5192
-3.0923 2.2260 3.5526
B O Sr
1 2 1
Cartesian
0.0000 0.0000 0.0000
-10.5254 0.5790 6.9085
-1.0797 0.0594 0.7087
-5.8026 0.3192 3.8086


[18]
SrB2O4 (GGA-PBE, relaxed); VASP energy = -6.174 eV/atom; DOS(E_F) = 1.6 states/eV/f.u.; energy relative to the elements, uncorrected = -1.1922 eV/atom; symmetry = No. 139; offset from the most stable computed form = 1532 meV/atom
1.0
5.0992 0.0000 0.0000
0.0000 5.0992 0.0000
2.5496 2.5496 4.5582
B Sr O
2 1 4
Cartesian
2.5496 2.5496 0.8049
5.0992 5.0992 3.7533
0.0000 0.0000 0.0000
0.0000 2.5496 0.0000
2.5496 0.0000 0.0000
2.5496 2.5496 2.0368
5.0992 5.0992 2.5214


[19]
SrB3O (GGA-PBE, relaxed); VASP energy = -2.061 eV/atom; DOS(E_F) = 5.0 states/eV/f.u.; energy relative to the elements, uncorrected = 3.2730 eV/atom; symmetry = No. 221; offset from the most stable computed form = 1627 meV/atom
1.0
-4.3672 0.4217 -2.6750
-0.1685 -5.1085 -0.5303
-2.7027 -0.3630 4.3554
B O Sr
3 1 1
Cartesian
-2.1836 0.2108 -1.3375
-1.3514 -0.1815 2.1777
-0.0842 -2.5542 -0.2651
-3.6192 -2.5249 0.5751
0.0000 0.0000 0.0000


[20]
Sr2BO3 (GGA-PBE, relaxed); VASP energy = -6.635 eV/atom; DOS(E_F) = 0.6 states/eV/f.u.; energy relative to the elements, uncorrected = -2.4826 eV/atom; symmetry = No. 69
1.0
6.2757 2.0349 0.0000
0.7763 6.5516 0.0000
-3.5260 -4.2932 5.5977
B O Sr
2 6 4
Cartesian
0.0000 0.0000 2.9753
3.5260 4.2932 2.6224
3.5260 4.2932 4.0012
4.2814 5.2129 1.8845
0.7554 0.9197 3.7132
-0.7553 -0.9197 3.7132
2.7707 3.3735 1.8845
0.0000 0.0000 1.5965
3.1379 1.0175 2.7989
0.3882 3.2758 2.7989
4.8408 3.2135 0.0000
2.2113 5.3730 0.0000


[21]
SrBO (GGA-PBE, relaxed); VASP energy = -5.971 eV/atom; DOS(E_F) = 0.2 states/eV/f.u.; energy relative to the elements, uncorrected = -1.5320 eV/atom; symmetry = No. 62
1.0
3.2835 0.0000 0.0000
0.0000 5.9768 0.0000
0.0000 0.0000 8.4157
Sr B O
4 4 4
Cartesian
0.8209 0.5670 2.6284
2.4626 2.4214 6.8362
0.8209 3.5554 1.5795
2.4626 5.4098 5.7873
0.8209 5.6675 8.2088
0.8209 2.6791 4.4147
2.4626 3.2977 4.0009
2.4626 0.3093 0.2069
0.8209 4.3123 7.4880
2.4626 4.6529 3.2802
2.4626 1.6645 0.9277
0.8209 1.3239 5.1355